1.
Compound: NdDyNiIr
Source: Alexandria
Functional: PBE
Structure: optimized geometry

abc: 6.939 6.939 6.939
angles: 90.00 90.00 90.00
Space group F-43m (No. 216)
Inequivalent atoms, fractional coordinates:
Nd (0.000, 0.000, 0.000) x4
Dy (0.000, 0.000, 0.500) x4
Ni (0.250, 0.250, 0.250) x4
Ir (0.250, 0.250, 0.750) x4

final energy = -6.525 eV per atom
energy relative to the elements = -0.5215 eV/atom
calculated volume = 20.88 A^3/atom



2.
Compound: GaGeSb2Te
Source: Alexandria
Functional: PBE
Structure: optimized geometry

abc: 5.768 5.768 5.345
angles: 90.00 90.00 90.00
Space group P4/mmm (No. 123)
Inequivalent atoms, fractional coordinates:
Ga (0.000, 0.000, 0.000) x1
Ge (0.500, 0.500, 0.000) x1
Sb (0.000, 0.500, 0.500) x2
Te (0.000, 0.000, 0.500) x1

final energy = -2.951 eV per atom
formation energy (no corrections) = 855 meV/atom
calculated volume = 35.57 A^3/atom



3.
Compound: Tm2HfH
Source: Alexandria
Functional: PBE
Structure: optimized geometry

abc: 3.2815 3.2815 26.8757
angles: 90.00 90.00 120.00
Space group R-3m (No. 166, hexagonal axes)
Inequivalent atoms, fractional coordinates:
Tm (0.0000, 0.0000, 0.1166) x6
Hf (0.0000, 0.0000, 0.0000) x3
H (0.0000, 0.0000, 0.5000) x3

final energy = -5.416 eV per atom
calculated volume = 20.89 A^3/atom



4.
Compound: AgMo2Ru
Source: Alexandria
Functional: PBE
Structure: optimized geometry

abc: 6.337 6.337 6.337
angles: 90.00 90.00 90.00
Space group Fm-3m (No. 225)
Inequivalent atoms, fractional coordinates:
Ag (0.000, 0.000, 0.000) x4
Mo (0.250, 0.250, 0.250) x8
Ru (0.000, 0.000, 0.500) x4

final energy = -7.757 eV per atom
energy relative to the elements = 0.6901 eV/atom
calculated volume = 15.90 A^3/atom